1.
DFT (GGA-PBE) results for crystalline BaLa2Sc at its relaxed geometry.

```
data_BaLa2Sc
_space_group_name_H-M_alt 'P 1'
_space_group_IT_number 1
_space_group_name_Hall 'P 1'
_cell_length_a 5.9773
_cell_length_b 5.9773
_cell_length_c 5.9773
_cell_angle_alpha 60.00
_cell_angle_beta 60.00
_cell_angle_gamma 60.00
loop_
_atom_site_label
_atom_site_type_symbol
_atom_site_fract_x
_atom_site_fract_y
_atom_site_fract_z
Ba1 Ba 0.0000 0.0000 0.0000
La1 La 0.2500 0.2500 0.2500
La2 La 0.7500 0.7500 0.7500
Sc1 Sc 0.5000 0.5000 0.5000
```

Results
Its raw total energy is -4.2348 eV per atom. The density of states at the Fermi level is 2.569 states/eV per atom. Its space-group type is No. 225.



2.
DFT (GGA-PBE) results for crystalline BaLa2Sc at its relaxed geometry.

```
data_BaLa2Sc
_space_group_name_H-M_alt 'P 1'
_space_group_IT_number 1
_space_group_name_Hall 'P 1'
_cell_length_a 6.3946
_cell_length_b 6.3946
_cell_length_c 6.5743
_cell_angle_alpha 99.23
_cell_angle_beta 99.23
_cell_angle_gamma 33.72
loop_
_atom_site_label
_atom_site_type_symbol
_atom_site_fract_x
_atom_site_fract_y
_atom_site_fract_z
Ba1 Ba 0.0000 0.0000 0.0000
La1 La 0.5146 0.5146 0.5136
La2 La 0.7618 0.7618 0.2985
Sc1 Sc 0.2486 0.2486 0.7485
```

Results
Its raw total energy is -4.3158 eV per atom. The density of states at the Fermi level is 1.279 states/eV per atom. Its space-group type is No. 8.



3.
DFT (GGA-PBE) results for crystalline BaLaSc2 at its relaxed geometry.

```
data_BaLaSc2
_space_group_name_H-M_alt 'P 1'
_space_group_IT_number 1
_space_group_name_Hall 'P 1'
_cell_length_a 12.8272
_cell_length_b 12.8272
_cell_length_c 12.8272
_cell_angle_alpha 15.43
_cell_angle_beta 15.43
_cell_angle_gamma 15.43
loop_
_atom_site_label
_atom_site_type_symbol
_atom_site_fract_x
_atom_site_fract_y
_atom_site_fract_z
Ba1 Ba 0.0000 0.0000 0.0000
La1 La 0.5000 0.5000 0.5000
Sc1 Sc 0.4159 0.4159 0.4159
Sc2 Sc 0.5841 0.5841 0.5841
```

Results
Its raw total energy is -4.4254 eV per atom. The density of states at the Fermi level is 1.789 states/eV per atom. Its space-group type is No. 166.



4.
DFT (GGA-PBE) results for crystalline BaLa4Sc at its relaxed geometry.

```
data_BaLa4Sc
_space_group_name_H-M_alt 'P 1'
_space_group_IT_number 1
_space_group_name_Hall 'P 1'
_cell_length_a 6.8795
_cell_length_b 6.8795
_cell_length_c 6.8795
_cell_angle_alpha 60.00
_cell_angle_beta 60.00
_cell_angle_gamma 60.00
loop_
_atom_site_label
_atom_site_type_symbol
_atom_site_fract_x
_atom_site_fract_y
_atom_site_fract_z
Ba1 Ba 0.0000 0.0000 0.0000
La1 La 0.1438 0.6187 0.6187
La2 La 0.6187 0.1438 0.6187
La3 La 0.6187 0.6187 0.1438
La4 La 0.6187 0.6187 0.6187
Sc1 Sc 0.2500 0.2500 0.2500
```

Results
Its raw total energy is -4.3521 eV per atom. The density of states at the Fermi level is 1.558 states/eV per atom. Its space-group type is No. 216.



5.
DFT (GGA-PBE) results for crystalline BaLa2Sc at its relaxed geometry.

```
data_BaLa2Sc
_space_group_name_H-M_alt 'P 1'
_space_group_IT_number 1
_space_group_name_Hall 'P 1'
_cell_length_a 7.2394
_cell_length_b 7.2394
_cell_length_c 7.2394
_cell_angle_alpha 148.45
_cell_angle_beta 130.21
_cell_angle_gamma 60.15
loop_
_atom_site_label
_atom_site_type_symbol
_atom_site_fract_x
_atom_site_fract_y
_atom_site_fract_z
Ba1 Ba 0.0000 0.0000 0.0000
La1 La 0.2815 0.7815 0.5000
La2 La 0.5542 0.5542 0.0000
Sc1 Sc 0.7652 0.2652 0.5000
```

Results
Its raw total energy is -4.2760 eV per atom. The density of states at the Fermi level is 1.724 states/eV per atom. Its space-group type is No. 44.



6.
DFT (GGA-PBE) results for crystalline BaLa2Sc at its relaxed geometry.

```
data_BaLa2Sc
_space_group_name_H-M_alt 'P 1'
_space_group_IT_number 1
_space_group_name_Hall 'P 1'
_cell_length_a 5.9748
_cell_length_b 5.9748
_cell_length_c 5.9748
_cell_angle_alpha 60.00
_cell_angle_beta 60.00
_cell_angle_gamma 60.00
loop_
_atom_site_label
_atom_site_type_symbol
_atom_site_fract_x
_atom_site_fract_y
_atom_site_fract_z
Ba1 Ba 0.0000 0.0000 0.0000
La1 La 0.5000 0.5000 0.5000
La2 La 0.7500 0.7500 0.7500
Sc1 Sc 0.2500 0.2500 0.2500
```

Results
Its raw total energy is -4.2273 eV per atom. The density of states at the Fermi level is 2.065 states/eV per atom. Its space-group type is No. 216.



7.
DFT (GGA-PBE) results for crystalline BaLa2Sc at its relaxed geometry.

```
data_BaLa2Sc
_space_group_name_H-M_alt 'P 1'
_space_group_IT_number 1
_space_group_name_Hall 'P 1'
_cell_length_a 6.4159
_cell_length_b 6.4159
_cell_length_c 3.7395
_cell_angle_alpha 90.00
_cell_angle_beta 90.00
_cell_angle_gamma 109.86
loop_
_atom_site_label
_atom_site_type_symbol
_atom_site_fract_x
_atom_site_fract_y
_atom_site_fract_z
Ba1 Ba 0.0000 0.0000 0.0000
La1 La 0.0000 0.5000 0.5000
La2 La 0.5000 0.0000 0.5000
Sc1 Sc 0.5000 0.5000 0.0000
```

Results
Its raw total energy is -4.2966 eV per atom. The density of states at the Fermi level is 1.108 states/eV per atom. Its space-group type is No. 65.



8.
DFT (GGA-PBE) results for crystalline BaLaSc2 at its relaxed geometry.

```
data_BaLaSc2
_space_group_name_H-M_alt 'P 1'
_space_group_IT_number 1
_space_group_name_Hall 'P 1'
_cell_length_a 5.5927
_cell_length_b 7.1514
_cell_length_c 7.1514
_cell_angle_alpha 28.74
_cell_angle_beta 90.00
_cell_angle_gamma 90.00
loop_
_atom_site_label
_atom_site_type_symbol
_atom_site_fract_x
_atom_site_fract_y
_atom_site_fract_z
Ba1 Ba 0.0000 0.0000 0.0000
La1 La 0.5000 0.6659 0.6659
Sc1 Sc 0.0000 0.2641 0.2641
Sc2 Sc 0.5000 0.3743 0.3743
```

Results
Its raw total energy is -4.6262 eV per atom. The density of states at the Fermi level is 1.749 states/eV per atom. Its space-group type is No. 38.



9.
DFT (GGA-PBE) results for crystalline BaLaSc2 at its relaxed geometry.

```
data_BaLaSc2
_space_group_name_H-M_alt 'P 1'
_space_group_IT_number 1
_space_group_name_Hall 'P 1'
_cell_length_a 6.1984
_cell_length_b 6.1984
_cell_length_c 6.1984
_cell_angle_alpha 130.97
_cell_angle_beta 130.97
_cell_angle_gamma 71.86
loop_
_atom_site_label
_atom_site_type_symbol
_atom_site_fract_x
_atom_site_fract_y
_atom_site_fract_z
Ba1 Ba 0.0000 0.0000 0.0000
La1 La 0.2500 0.7500 0.5000
Sc1 Sc 0.5000 0.5000 0.0000
Sc2 Sc 0.7500 0.2500 0.5000
```

Results
Its raw total energy is -4.5417 eV per atom. The density of states at the Fermi level is 2.094 states/eV per atom. Its space-group type is No. 119.



10.
DFT (GGA-PBE) results for crystalline BaLa2Sc at its relaxed geometry.

```
data_BaLa2Sc
_space_group_name_H-M_alt 'P 1'
_space_group_IT_number 1
_space_group_name_Hall 'P 1'
_cell_length_a 12.4629
_cell_length_b 12.4629
_cell_length_c 12.4629
_cell_angle_alpha 17.25
_cell_angle_beta 17.25
_cell_angle_gamma 17.25
loop_
_atom_site_label
_atom_site_type_symbol
_atom_site_fract_x
_atom_site_fract_y
_atom_site_fract_z
Ba1 Ba 0.0000 0.0000 0.0000
La1 La 0.2393 0.2393 0.2393
La2 La 0.7607 0.7607 0.7607
Sc1 Sc 0.5000 0.5000 0.5000
```

Results
Its raw total energy is -4.3624 eV per atom. The density of states at the Fermi level is 1.161 states/eV per atom. Its space-group type is No. 166.



11.
DFT (GGA-PBE) results for crystalline BaLa2Sc at its relaxed geometry.

```
data_BaLa2Sc
_space_group_name_H-M_alt 'P 1'
_space_group_IT_number 1
_space_group_name_Hall 'P 1'
_cell_length_a 3.9754
_cell_length_b 3.9754
_cell_length_c 9.9100
_cell_angle_alpha 90.00
_cell_angle_beta 90.00
_cell_angle_gamma 90.00
loop_
_atom_site_label
_atom_site_type_symbol
_atom_site_fract_x
_atom_site_fract_y
_atom_site_fract_z
Ba1 Ba 0.0000 0.0000 0.0000
La1 La 0.5000 0.5000 0.3051
La2 La 0.5000 0.5000 0.6949
Sc1 Sc 0.0000 0.0000 0.5000
```

Results
Its raw total energy is -4.4117 eV per atom. The density of states at the Fermi level is 1.141 states/eV per atom. Its space-group type is No. 123.



12.
DFT (GGA-PBE) results for crystalline BaLaScSe4 at its relaxed geometry.

```
data_BaLaScSe4
_space_group_name_H-M_alt 'P 1'
_space_group_IT_number 1
_space_group_name_Hall 'P 1'
_cell_length_a 8.7088
_cell_length_b 8.7088
_cell_length_c 7.2753
_cell_angle_alpha 90.00
_cell_angle_beta 90.00
_cell_angle_gamma 131.34
loop_
_atom_site_label
_atom_site_type_symbol
_atom_site_fract_x
_atom_site_fract_y
_atom_site_fract_z
Ba1 Ba 0.1077 0.8923 0.7500
Ba2 Ba 0.8923 0.1077 0.2500
La1 La 0.3818 0.6182 0.7500
La2 La 0.6182 0.3818 0.2500
Sc1 Sc 0.2517 0.7483 0.2500
Sc2 Sc 0.7483 0.2517 0.7500
Se1 Se 0.0000 0.5000 0.0000
Se2 Se 0.0000 0.5000 0.5000
Se3 Se 0.0853 0.9147 0.2500
Se4 Se 0.4335 0.5665 0.2500
Se5 Se 0.5000 0.0000 0.0000
Se6 Se 0.5000 0.0000 0.5000
Se7 Se 0.5665 0.4335 0.7500
Se8 Se 0.9147 0.0853 0.7500
```

Results
Its raw total energy is -5.6808 eV per atom. Its formation energy from raw total energies is -1.807 eV per atom. Its space-group type is No. 63.



13.
DFT (GGA-PBE) results for crystalline BaLaSc2Ta at its relaxed geometry.

```
data_BaLaSc2Ta
_space_group_name_H-M_alt 'P 1'
_space_group_IT_number 1
_space_group_name_Hall 'P 1'
_cell_length_a 5.3392
_cell_length_b 5.3392
_cell_length_c 5.9468
_cell_angle_alpha 90.00
_cell_angle_beta 90.00
_cell_angle_gamma 90.00
loop_
_atom_site_label
_atom_site_type_symbol
_atom_site_fract_x
_atom_site_fract_y
_atom_site_fract_z
Ba1 Ba 0.0000 0.0000 0.0000
La1 La 0.5000 0.5000 0.0000
Sc1 Sc 0.0000 0.5000 0.5000
Sc2 Sc 0.5000 0.0000 0.5000
Ta1 Ta 0.0000 0.0000 0.5000
```

Results
Its raw total energy is -5.5100 eV per atom. The density of states at the Fermi level is 1.389 states/eV per atom. Its space-group type is No. 123.